Below is crystalline Nd2Dy2Sb2C at its relaxed geometry, with properties calculated at the GGA-PBE level.

ΔE_f (raw) (meV/atom): -830.8
Space-group type: No. 139
Crystal system: tetragonal

Structure (extended XYZ):
```
7
Lattice="4.7950 0.0000 0.0000 0.0000 4.7950 0.0000 -2.3975 -2.3975 8.1767" Properties=species:S:1:pos:R:3 pbc="T T T"
Nd 0.0000 0.0000 2.6635
Nd 2.3975 2.3975 5.5132
Dy 0.0000 2.3975 0.0000
Dy 2.3975 0.0000 0.0000
Sb 0.0000 0.0000 5.9371
Sb 2.3975 2.3975 2.2396
C 0.0000 0.0000 0.0000
```

Below is crystalline TlFe2W at its relaxed geometry, with properties calculated at the GGA-PBE level.

Space-group type: No. 65
Polymorph energy (0 for the lowest one) (meV/atom): 108
Crystal system: orthorhombic

Structure (extended XYZ):
```
4
Lattice="2.8001 0.0053 0.0000 -0.9497 2.6341 0.0000 0.0000 0.0000 8.6588" Properties=species:S:1:pos:R:3 pbc="T T T"
Fe 0.0000 0.0000 8.4818
Fe 0.0000 0.0000 4.5064
Tl 0.9252 1.3197 2.1647
W 0.9252 1.3197 6.4941
```

Below is crystalline Pr6ZnIn3 at its relaxed geometry, with properties calculated at the GGA-PBE level.

Space-group type: No. 11
Polymorph energy (0 for the lowest one) (meV/atom): 0
Crystal system: monoclinic

Structure (extended XYZ):
```
20
Lattice="5.4430 0.0000 0.0000 0.0000 9.0947 -3.0103 0.0000 0.0984 12.0854" Properties=species:S:1:pos:R:3 pbc="T T T"
Pr 1.3607 4.2599 -0.3368
Pr 4.0822 4.9332 9.4118
Pr 1.3607 1.2112 1.4442
Pr 4.0822 7.9819 7.6309
Pr 1.3607 6.1340 6.0984
Pr 4.0822 3.0591 2.9766
Pr 1.3607 2.2274 5.2880
Pr 4.0822 6.9657 3.7870
Pr 1.3607 7.8118 1.2825
Pr 4.0822 1.3813 7.7925
Pr 1.3607 0.9430 10.2611
Pr 4.0822 8.2501 -1.1860
Zn 1.3607 8.7960 4.3352
Zn 4.0822 0.3971 4.7398
In 1.3607 4.8854 2.9708
In 4.0822 4.3077 6.1042
In 1.3607 3.5128 8.2641
In 4.0822 5.6803 0.8110
In 1.3607 7.0958 9.4239
In 4.0822 2.0973 -0.3489
```

Number 1: total magnetic moment 0.0 μB per cell. Number 2: total magnetic moment 4.4 μB per cell. Number 3: total magnetic moment 0.0 μB per cell.